Density functional theory data (PBE) for a relaxed structure of CsSrI3.

Cell lengths 4.8332, 10.1672, 10.1672 Å; angles 62.84, 90.00, 90.00 degrees
Last column: nearest neighbours and their distance in Å.
Fractional positions:
1 Cs 0.0000 0.0000 0.0000  4 I 3.69-3.77
2 Sr 0.5000 0.3428 0.3428  5 I 3.16-3.30
3 I 0.0000 0.1795 0.5832  2 Sr 3.30
4 I 0.0000 0.5832 0.1795  2 Sr 3.30
5 I 0.5000 0.1605 0.1605  1 Sr 3.16

Values from the calculation:
- calculated volume (Å³/atom) = 88.9
- energy relative to the elements, uncorrected (eV/atom) = -1.5375
- density of states at the Fermi level (states/eV/f.u.) = 0.0
- final energy (eV for the cell shown) = -14.87
- spin magnetization (μB/atom) = 0.0000